Compound: Al2Sn2F
Source: the Alexandria database
Functional: PBE
Structure: relaxed

Cell lengths 4.3204, 4.3204, 12.5982 Å; angles 90.00, 90.00, 90.00 degrees
Atoms (fractional coordinates):
Al  0.0000  0.0000  0.0986
Al  0.0000  0.0000  0.9014
Al  0.5000  0.5000  0.4014
Al  0.5000  0.5000  0.5986
Sn  0.0000  0.5000  0.2500
Sn  0.0000  0.5000  0.7500
Sn  0.5000  0.0000  0.2500
Sn  0.5000  0.0000  0.7500
F  0.0000  0.0000  0.5000
F  0.5000  0.5000  0.0000

Results
Energy, eV/atom: -3.665
Excess energy over the best structure of this formula in the dataset, eV/atom: 0.320
Size of the total moment, μB/cell: 0.00
Formation energy (no corrections), eV per atom: -0.192
Mass density, g cm⁻³: 4.38